1.
A PBEsol-optimized structure of TaAg3H, computed with SCAN.

The crystal system is cubic. Its total energy is -32.016 eV per atom. Its density of states at the Fermi level is 2.501 states/eV per cell. As for the total magnetic moment: 2.10 μB per formula unit.

```
data_TaAg3H
_symmetry_space_group_name_H-M 'P m -3 m'
_symmetry_Int_Tables_number 221
_symmetry_space_group_name_Hall '-P 4 2 3'
_cell_length_a 4.144
_cell_length_b 4.144
_cell_length_c 4.144
_cell_angle_alpha 90.00
_cell_angle_beta 90.00
_cell_angle_gamma 90.00
loop_
_atom_site_label
_atom_site_type_symbol
_atom_site_fract_x
_atom_site_fract_y
_atom_site_fract_z
Ta1 Ta 0.000 0.000 0.000
Ag1 Ag 0.000 0.500 0.500
H1 H 0.500 0.500 0.500
```

---

2.
A PBEsol-optimized structure of SrTl2W, computed with SCAN.

The crystal system is orthorhombic. Its total energy is -58.342 eV per atom. As for the calculated formation energy: 828 meV per atom. The offset from the most stable computed form is 96.6 kJ/mol of formula units. Its density of states at the Fermi level is 3.975 states/eV per cell. As for the total magnetic moment: 0.00 μB per formula unit.

```
data_SrTl2W
_symmetry_space_group_name_H-M 'C m m 2'
_symmetry_Int_Tables_number 35
_symmetry_space_group_name_Hall 'C 2 -2'
_cell_length_a 3.950
_cell_length_b 4.852
_cell_length_c 9.974
_cell_angle_alpha 90.00
_cell_angle_beta 90.00
_cell_angle_gamma 90.00
loop_
_atom_site_label
_atom_site_type_symbol
_atom_site_fract_x
_atom_site_fract_y
_atom_site_fract_z
Sr1 Sr 0.000 0.000 0.000
Tl1 Tl 0.000 0.000 0.459
Tl2 Tl 0.000 0.500 0.713
W1 W 0.000 0.500 0.245
```

---

3.
A PBEsol-optimized structure of SrLi3Hg, computed with SCAN.

The crystal system is cubic. Its total energy is -19.753 eV per atom. As for the calculated formation energy: -231 meV per atom. Its density of states at the Fermi level is 3.194 states/eV per cell. As for the total magnetic moment: 0.00 μB per formula unit.

```
data_SrLi3Hg
_symmetry_space_group_name_H-M 'P m -3 m'
_symmetry_Int_Tables_number 221
_symmetry_space_group_name_Hall '-P 4 2 3'
_cell_length_a 5.107
_cell_length_b 5.107
_cell_length_c 5.107
_cell_angle_alpha 90.00
_cell_angle_beta 90.00
_cell_angle_gamma 90.00
loop_
_atom_site_label
_atom_site_type_symbol
_atom_site_fract_x
_atom_site_fract_y
_atom_site_fract_z
Sr1 Sr 0.000 0.000 0.000
Li1 Li 0.000 0.500 0.500
Hg1 Hg 0.500 0.500 0.500
```

---

4.
A PBEsol-optimized structure of TaCr2Si, computed with SCAN.

The crystal system is orthorhombic. Its total energy is -28.289 eV per atom. Its density of states at the Fermi level is 4.844 states/eV per cell. The value obtained for the uncorrected formation energy is 53 meV per atom. As for the total magnetic moment: 0.00 μB per formula unit.

```
data_TaCr2Si
_symmetry_space_group_name_H-M 'C m m 2'
_symmetry_Int_Tables_number 35
_symmetry_space_group_name_Hall 'C 2 -2'
_cell_length_a 3.128
_cell_length_b 4.335
_cell_length_c 7.820
_cell_angle_alpha 90.00
_cell_angle_beta 90.00
_cell_angle_gamma 90.00
loop_
_atom_site_label
_atom_site_type_symbol
_atom_site_fract_x
_atom_site_fract_y
_atom_site_fract_z
Ta1 Ta 0.000 0.000 0.000
Cr1 Cr 0.000 0.000 0.499
Cr2 Cr 0.000 0.500 0.727
Si1 Si 0.000 0.500 0.269
```